A relaxed structure of Sr2HfAg2, computed with GGA-PBE.

The space group is P4/mbm (No. 127) and the conventional cell measures 9.137, 9.137 and 3.371 Å, with angles of 90.00, 90.00 and 90.00 degrees. The asymmetric unit holds Sr at (0.143, 0.357, 0.000), Hf at (0.000, 0.000, 0.000) and Ag at (0.159, 0.659, 0.500).

The calculation puts the volume at 28.14 Å³ per atom. The total magnetic moment is 0.18 μB/atom. As for the electronic total energy: -33.73 eV/cell. The formation energy comes out at 2.15 eV/f.u. The value obtained for the density of states at the Fermi level is 10.2 states/eV per cell.